# K4In3Au2

Crystalline K4In3Au2 at its relaxed geometry (PBE, the Alexandria database).

Its formation energy is -220 meV/atom.

It has space group C2/m (No. 12), with a = 18.024 Å, b = 4.564 Å, c = 8.220 Å, α = 90.00°, β = 106.21° and γ = 90.00°. The distinct sites, in fractional coordinates, are K at (0.081, 0.000, 0.378), K at (0.229, 0.500, 0.182), In at (0.000, 0.500, 0.000), In at (0.100, 0.500, 0.740) and Au at (0.086, 0.000, 0.932).

# RbPtCl

Crystalline RbPtCl at its relaxed geometry (PBE, the Alexandria database).

As for the formation energy (no corrections): -74.6 kJ/mol of atoms. The value obtained for the energy above the most stable polymorph in this dataset is 0.0 kJ per mole of atoms.

It has space group C2/m (No. 12), with a = 12.341 Å, b = 3.772 Å, c = 7.374 Å, α = 90.00°, β = 99.63° and γ = 90.00°. The distinct sites, in fractional coordinates, are Rb at (0.095, 0.000, 0.287), Pt at (0.209, 0.000, 0.892) and Cl at (0.129, 0.500, 0.682).

# MnRhSN2

Crystalline MnRhSN2 at its relaxed geometry (PBE, the Alexandria database).

As for the formation energy (no corrections): 90.4 kJ/mol of atoms. The value obtained for the energy above the most stable polymorph in this dataset is 21.8 kJ per mole of atoms.

It has space group P4/mmm (No. 123), with a = 3.770 Å, b = 3.770 Å, c = 5.290 Å, α = 90.00°, β = 90.00° and γ = 90.00°. The distinct sites, in fractional coordinates, are Mn at (0.000, 0.000, 0.000), Rh at (0.500, 0.500, 0.500), S at (0.500, 0.500, 0.000) and N at (0.000, 0.500, 0.500).

# BaHgP2S

Crystalline BaHgP2S at its relaxed geometry (PBE, the Alexandria database).

As for the formation energy (no corrections): 88.2 kJ/mol of atoms. The value obtained for the energy above the most stable polymorph in this dataset is 77.5 kJ per mole of atoms.

It has space group P4/mmm (No. 123), with a = 6.648 Å, b = 6.648 Å, c = 5.927 Å, α = 90.00°, β = 90.00° and γ = 90.00°. The distinct sites, in fractional coordinates, are Ba at (0.000, 0.000, 0.000), Hg at (0.500, 0.500, 0.500), P at (0.000, 0.500, 0.000) and S at (0.000, 0.000, 0.500).